Here is crystalline MgCdW2O8 at its relaxed geometry from Alexandria via LeMat-Bulk. Energies are from PBE with a Hubbard U.

POSCAR file:
```
MgCdW2O8
1.0
-3.5308 3.5308 3.4530
3.5308 -3.5308 3.4530
3.5308 3.5308 -3.4530
Mg Cd W O
1 1 2 8
Direct
0.0000 0.0000 0.0000
0.7500 0.2500 0.5000
0.2500 0.7500 0.5000
0.5000 0.5000 0.0000
0.0965 0.3860 0.2895
0.0965 0.8070 0.7105
0.1370 0.3378 0.7993
0.1930 0.9035 0.2895
0.5385 0.3378 0.2007
0.6140 0.9035 0.7105
0.6622 0.4615 0.7993
0.6622 0.8630 0.2007
```

Properties
space group	I-4m2
E_tot	-6.576	eV/atom